PBE Sr2Ga2Ru, optimized geometry; volume = 262.0 Å³/cell; DFT formation energy = -0.306 eV per atom; magnetization = 0.000 μB per atom; ΔE to the lowest computed polymorph = 0 meV/atom; space group = No. 12
1.0
5.807 -2.262 0.000
5.807 2.262 0.000
-5.584 0.000 9.972
Sr Ga Ru
4 4 2
direct
0.000 0.000 0.161
0.000 0.000 0.839
0.196 0.196 0.614
0.804 0.804 0.386
0.319 0.319 0.932
0.489 0.489 0.370
0.511 0.511 0.630
0.681 0.681 0.068
0.290 0.290 0.139
0.710 0.710 0.861



PBE Ti6ZnN4, optimized geometry; volume = 251.6 Å³/cell; energy relative to the elements, uncorrected = -1.3631 eV per atom; magnetization = 0.000 μB per atom; space group = No. 63
1.0
1.533 -5.131 0.000
1.533 5.131 0.000
0.000 0.000 16.000
Ti Zn N
12 2 8
direct
0.000 0.000 0.000
0.000 0.000 0.500
0.138 0.862 0.750
0.279 0.721 0.079
0.279 0.721 0.421
0.464 0.536 0.647
0.464 0.536 0.853
0.536 0.464 0.147
0.536 0.464 0.353
0.721 0.279 0.579
0.721 0.279 0.921
0.862 0.138 0.250
0.161 0.839 0.250
0.839 0.161 0.750
0.092 0.908 0.621
0.092 0.908 0.879
0.361 0.639 0.539
0.361 0.639 0.961
0.639 0.361 0.039
0.639 0.361 0.461
0.908 0.092 0.121
0.908 0.092 0.379



PBE HRhO2, optimized geometry; volume = 307.8 Å³/cell; magnetization = 0.000 μB per atom; space group = No. 15; uncorrected energy = -184.85 eV/cell
1.0
3.926 -4.023 0.000
3.926 4.023 0.000
-2.398 0.000 9.743
H Rh O
8 8 16
direct
0.072 0.401 0.848
0.086 0.788 0.673
0.212 0.914 0.827
0.401 0.072 0.348
0.599 0.928 0.652
0.788 0.086 0.173
0.914 0.212 0.327
0.928 0.599 0.152
0.148 0.200 0.101
0.200 0.148 0.601
0.343 0.617 0.389
0.383 0.657 0.111
0.617 0.343 0.889
0.657 0.383 0.611
0.800 0.852 0.399
0.852 0.800 0.899
0.074 0.926 0.750
0.092 0.548 0.196
0.122 0.799 0.506
0.201 0.878 0.994
0.294 0.362 0.965
0.362 0.294 0.465
0.452 0.908 0.304
0.457 0.543 0.750
0.543 0.457 0.250
0.548 0.092 0.696
0.638 0.706 0.535
0.706 0.638 0.035
0.799 0.122 0.006
0.878 0.201 0.494
0.908 0.452 0.804
0.926 0.074 0.250



PBE TaMnCr, optimized geometry; volume = 40.9 Å³/cell; DFT formation energy = 0.033 eV per atom; magnetization = 0.000 μB per atom; ΔE to the lowest computed polymorph = 201 meV/atom; space group = No. 107
1.0
-1.430 1.430 5.005
1.430 -1.430 5.005
1.430 1.430 -5.005
Ta Mn Cr
1 1 1
direct
0.000 0.000 0.000
0.313 0.313 0.000
0.691 0.691 0.000



PBE AlFe3H, optimized geometry; volume = 109.4 Å³/cell; magnetization = 1.287 μB per atom; ΔE to the lowest computed polymorph = 253 meV/atom; space group = No. 148
1.0
2.232 1.289 6.339
-2.232 1.289 6.339
0.000 -2.578 6.339
Al Fe H
2 6 2
direct
0.167 0.167 0.167
0.833 0.833 0.833
0.056 0.385 0.731
0.269 0.944 0.615
0.385 0.731 0.056
0.615 0.269 0.944
0.731 0.056 0.385
0.944 0.615 0.269
0.336 0.336 0.336
0.664 0.664 0.664



PBE Li2Mg3Hg2, optimized geometry; volume = 143.4 Å³/cell; DFT formation energy = -0.190 eV per atom; magnetization = 0.000 μB per atom; space group = No. 71
1.0
-1.622 2.304 9.595
1.622 -2.304 9.595
1.622 2.304 -9.595
Li Mg Hg
2 3 2
direct
0.069 0.069 0.000
0.931 0.931 0.000
0.203 0.703 0.500
0.500 0.500 0.000
0.797 0.297 0.500
0.356 0.856 0.500
0.644 0.144 0.500



PBE Ba2NbIn2, optimized geometry; volume = 166.0 Å³/cell; DFT formation energy = 0.734 eV per atom; magnetization = 0.496 μB per atom; ΔE to the lowest computed polymorph = 468 meV/atom; space group = No. 139
1.0
-2.308 2.308 7.791
2.308 -2.308 7.791
2.308 2.308 -7.791
Ba Nb In
2 1 2
direct
0.250 0.750 0.500
0.750 0.250 0.500
0.000 0.000 0.000
0.414 0.414 0.000
0.586 0.586 0.000



PBE Li3PmAu3, optimized geometry; volume = 281.2 Å³/cell; DFT formation energy = -0.569 eV per atom; magnetization = 0.000 μB per atom; ΔE to the lowest computed polymorph = 0 meV/atom; space group = No. 11
1.0
8.364 0.000 0.000
0.000 4.631 0.000
-4.176 0.000 7.261
Li Pm Au
6 2 6
direct
0.005 0.250 0.262
0.238 0.250 0.743
0.243 0.750 0.506
0.757 0.250 0.494
0.762 0.750 0.257
0.995 0.750 0.738
0.333 0.750 0.167
0.667 0.250 0.833
0.069 0.250 0.940
0.371 0.250 0.431
0.440 0.750 0.871
0.560 0.250 0.129
0.629 0.750 0.569
0.931 0.750 0.060